YV2O: optimized geometry, PBE+U. Values from VASP.

Structure (Quantum ESPRESSO input):
```
&SYSTEM
  ibrav = 0, nat = 8, ntyp = 3
/
ATOMIC_SPECIES
Y 88.91 Y.upf
V 50.94 V.upf
O 16.00 O.upf
ATOMIC_POSITIONS angstrom
Y 1.1045 1.1045 1.1045
Y 7.7314 7.7314 7.7314
V 4.4180 2.2090 2.2090
V 2.2090 4.4180 2.2090
V 2.2090 2.2090 4.4180
V 4.4180 4.4180 4.4180
O 3.3135 3.3135 3.3135
O 5.5225 5.5225 5.5225
CELL_PARAMETERS angstrom
0.0000 4.4180 4.4180
4.4180 0.0000 4.4180
4.4180 4.4180 0.0000
```

The space group is Fd-3m. For the final energy, the calculation gives -6.84 eV/atom. The value obtained for the volume is 172.5 Å³/cell.